Entry from Alexandria via LeMat-Bulk: crystalline VAuO2 at its relaxed geometry (GGA+U).

Computed properties:
The value obtained for the volume is 11.64 Å³ per atom. The uncorrected energy is -0.19479 hartree per atom.

```
data_VAuO2
_cell_length_a 5.710
_cell_length_b 5.710
_cell_length_c 5.710
_cell_angle_alpha 90.00
_cell_angle_beta 90.00
_cell_angle_gamma 90.00
_space_group_name_H-M_alt 'F m -3 m'
_space_group_IT_number 225
_space_group_name_Hall '-F 4 2 3'
loop_
_atom_site_label
_atom_site_fract_x
_atom_site_fract_y
_atom_site_fract_z
_atom_site_occupancy
V1 0.000 0.000 0.000 1
Au1 0.000 0.000 0.500 1
O1 0.250 0.250 0.250 1
```